[1]
{
  "formula": "NdZnNi2",
  "functional": "PBE-GGA",
  "state": "optimized geometry",
  "lattice": [[-2.4371, -0.0367, -3.4150], [1.6215, -3.5841, 1.4586], [-7.4740, -1.2054, 5.3466]],
  "species": ["Ni", "Ni", "Ni", "Ni", "Nd", "Nd", "Zn", "Zn"],
  "frac_coords": [[0.6667, 0.3333, 0.4475], [0.6667, 0.3333, 0.0525], [0.3333, 0.6667, 0.9475], [0.3333, 0.6667, 0.5525], [0.6667, 0.3333, 0.7500], [0.3333, 0.6667, 0.2500], [0.0000, 0.0000, 0.5000], [0.0000, 0.0000, 0.0000]]
}


[2]
{
  "formula": "SmGdTl",
  "functional": "PBE-GGA",
  "state": "optimized geometry",
  "lattice": [[5.2582, 0.0000, 0.0000], [2.6291, 4.5537, 0.0000], [2.6291, 1.5179, 4.2933]],
  "species": ["Gd", "Sm", "Tl"],
  "frac_coords": [[0.0000, 0.0000, 0.0000], [0.5000, 0.5000, 0.5000], [0.2500, 0.2500, 0.2500]],
  "relative_energy_ev_per_atom": 0.1668
}


[3]
{
  "formula": "Ho2ErAu",
  "functional": "PBE-GGA",
  "state": "optimized geometry",
  "lattice": [[-1.0881, 1.1243, -3.3560], [-2.4316, -2.0179, -1.9303], [-8.5156, 4.6777, 2.2853]],
  "species": ["Ho", "Ho", "Er", "Au"],
  "frac_coords": [[0.2633, 0.2633, 0.2101], [0.0700, 0.0700, 0.7899], [0.5006, 0.5006, 0.4983], [0.6661, 0.6661, 0.0017]],
  "relative_energy_ev_per_atom": 0.1684
}


[4]
{
  "formula": "Y2CoRe",
  "functional": "PBE-GGA",
  "state": "optimized geometry",
  "lattice": [[-7.9999, -2.8492, 1.5103], [-7.3622, -4.2462, -1.4719], [-6.3007, -5.7363, 1.3396]],
  "species": ["Re", "Co", "Y", "Y"],
  "frac_coords": [[0.7500, 0.7500, 0.7500], [0.2500, 0.2500, 0.2500], [0.5025, 0.5025, 0.5025], [0.9975, 0.9975, 0.9975]]
}


Calculated DFT formation energy in order - -0.35, -0.08, -0.29, 0.51 eV per atom